Record 1
{"formula": "GdGaIrRh", "functional": "PBE-GGA", "state": "relaxed", "lattice_angstrom": [[0.0000, 3.2616, 3.2616], [3.2616, 0.0000, 3.2616], [3.2616, 3.2616, 0.0000]], "species": ["Gd", "Ga", "Ir", "Rh"], "frac_coords": [[0.0000, 0.0000, 0.0000], [0.5000, 0.5000, 0.5000], [0.2500, 0.2500, 0.2500], [0.7500, 0.7500, 0.7500]], "n_ef_per_ev_atom": 0.222, "delta_e_f_ev_per_atom": -0.625, "spacegroup": "F-43m (216)", "crystal_system": "cubic"}

***

Record 2
{"formula": "Be3BiTe", "functional": "PBE-GGA", "state": "relaxed", "lattice_angstrom": [[4.7509, 0.0000, 0.0000], [0.0000, 4.7509, 0.0000], [0.0000, 0.0000, 4.7509]], "species": ["Be", "Be", "Be", "Bi", "Te"], "frac_coords": [[0.0000, 0.0000, 0.5000], [0.0000, 0.5000, 0.0000], [0.5000, 0.0000, 0.0000], [0.5000, 0.5000, 0.5000], [0.0000, 0.0000, 0.0000]], "n_ef_per_ev_atom": 0.492, "spacegroup": "Pm-3m (221)", "raw_formation_energy_ev_per_atom": 1.07, "crystal_system": "cubic"}

***

Record 3
{"formula": "NiH2Pt2", "functional": "PBE-GGA", "state": "relaxed", "lattice_angstrom": [[2.3927, -1.3808, 0.0000], [2.3927, 1.3808, 0.0000], [-1.5330, 0.0000, 7.4397]], "species": ["Ni", "H", "H", "Pt", "Pt"], "frac_coords": [[0.0000, 0.0000, 0.0000], [0.3009, 0.3009, 0.8974], [0.6991, 0.6991, 0.1026], [0.2299, 0.2299, 0.6627], [0.7701, 0.7701, 0.3373]], "n_ef_per_ev_atom": 0.345, "energy_ev_per_atom": -4.941, "spacegroup": "C2/m (12)", "crystal_system": "monoclinic"}

***

Record 4
{"formula": "SbPBr2", "functional": "PBE-GGA", "state": "relaxed", "lattice_angstrom": [[0.0000, 3.5814, 3.5814], [3.5814, 0.0000, 3.5814], [3.5814, 3.5814, 0.0000]], "species": ["Sb", "P", "Br", "Br"], "frac_coords": [[0.0000, 0.0000, 0.0000], [0.2500, 0.2500, 0.2500], [0.5000, 0.5000, 0.5000], [0.7500, 0.7500, 0.7500]], "n_ef_per_ev_atom": 0.844, "spacegroup": "F-43m (216)", "raw_formation_energy_ev_per_atom": 0.44, "crystal_system": "cubic"}

***

Record 5
{"formula": "Ac3Pr3Tl2Ru", "functional": "PBE-GGA", "state": "relaxed", "lattice_angstrom": [[9.1719, 0.0000, 0.0000], [-4.5860, 7.9431, 0.0000], [0.0000, 0.0000, 4.0618]], "species": ["Ac", "Ac", "Ac", "Pr", "Pr", "Pr", "Tl", "Tl", "Ru"], "frac_coords": [[0.0000, 0.7599, 0.0000], [0.2401, 0.2401, 0.0000], [0.7599, 0.0000, 0.0000], [0.0000, 0.4000, 0.5000], [0.4000, 0.0000, 0.5000], [0.6000, 0.6000, 0.5000], [0.3333, 0.6667, 0.0000], [0.6667, 0.3333, 0.0000], [0.0000, 0.0000, 0.5000]], "n_ef_per_ev_atom": 1.295, "delta_e_f_ev_per_atom": -0.232, "spacegroup": "P-62m (189)", "crystal_system": "hexagonal"}

***

Record 6
{"formula": "Nb3Mo3W2", "functional": "PBE-GGA", "state": "relaxed", "lattice_angstrom": [[-2.2715, 2.2826, 6.4394], [2.2715, -2.2826, 6.4394], [2.2715, 2.2826, -6.4394]], "species": ["Nb", "Nb", "Nb", "Mo", "Mo", "Mo", "W", "W"], "frac_coords": [[0.0000, 0.0000, 0.0000], [0.3746, 0.8746, 0.5000], [0.6254, 0.1254, 0.5000], [0.1270, 0.6270, 0.5000], [0.5000, 0.5000, 0.0000], [0.8730, 0.3730, 0.5000], [0.2492, 0.2492, 0.0000], [0.7508, 0.7508, 0.0000]], "n_ef_per_ev_atom": 0.575, "delta_e_f_ev_per_atom": -0.079, "spacegroup": "Immm (71)", "crystal_system": "orthorhombic"}

***

Record 7
{"formula": "Ac2Pm3PrTe6", "functional": "PBE-GGA", "state": "relaxed", "lattice_angstrom": [[9.9714, -2.2708, 0.0000], [9.9714, 2.2708, 0.0000], [-2.2200, 0.0000, 8.9236]], "species": ["Ac", "Ac", "Pm", "Pm", "Pm", "Pr", "Te", "Te", "Te", "Te", "Te", "Te"], "frac_coords": [[0.1646, 0.1646, 0.3301], [0.8354, 0.8354, 0.6699], [0.1681, 0.1681, 0.8356], [0.5000, 0.5000, 0.5000], [0.8319, 0.8319, 0.1644], [0.5000, 0.5000, 0.0000], [0.0053, 0.0053, 0.7488], [0.3330, 0.3330, 0.9281], [0.3364, 0.3364, 0.4072], [0.6636, 0.6636, 0.5928], [0.6670, 0.6670, 0.0719], [0.9947, 0.9947, 0.2512]], "n_ef_per_ev_atom": 0.550, "spacegroup": "C2/m (12)", "raw_formation_energy_ev_per_atom": -1.44, "crystal_system": "monoclinic"}

***

Record 8
{"formula": "ZnInAg", "functional": "PBE-GGA", "state": "relaxed", "lattice_angstrom": [[0.0000, 2.5244, 6.8152], [1.7520, 0.0000, 6.8152], [1.7520, 2.5244, 0.0000]], "species": ["Zn", "In", "Ag"], "frac_coords": [[0.0000, 0.0000, 0.0000], [0.6741, 0.6741, 0.3259], [0.3524, 0.3524, 0.6476]], "n_ef_per_ev_atom": 0.338, "delta_e_f_ev_per_atom": 0.128, "spacegroup": "Fmm2 (42)", "crystal_system": "orthorhombic"}

***

Record 9
{"formula": "La2HoH8", "functional": "PBE-GGA", "state": "relaxed", "lattice_angstrom": [[-1.9403, 2.6419, 5.8167], [1.9403, -2.6419, 5.8167], [1.9403, 2.6419, -5.8167]], "species": ["La", "La", "Ho", "H", "H", "H", "H", "H", "H", "H", "H"], "frac_coords": [[0.1687, 0.1687, 0.0000], [0.8313, 0.8313, 0.0000], [0.5000, 0.5000, 0.0000], [0.1000, 0.3491, 0.7509], [0.2597, 0.0000, 0.2597], [0.3261, 0.8261, 0.5000], [0.4018, 0.6509, 0.7509], [0.5982, 0.3491, 0.2491], [0.6739, 0.1739, 0.5000], [0.7403, 0.0000, 0.7403], [0.9000, 0.6509, 0.2491]], "n_ef_per_ev_atom": 0.117, "energy_ev_per_atom": -4.365, "spacegroup": "Immm (71)", "crystal_system": "orthorhombic"}

***

Record 10
{"formula": "Pr2MgGe4Au3", "functional": "PBE-GGA", "state": "relaxed", "lattice_angstrom": [[4.3326, 0.0000, 0.0000], [0.0000, 4.3326, 0.0000], [0.0000, 0.0000, 11.3861]], "species": ["Pr", "Pr", "Mg", "Ge", "Ge", "Ge", "Ge", "Au", "Au", "Au"], "frac_coords": [[0.0000, 0.5000, 0.2483], [0.5000, 0.0000, 0.7517], [0.5000, 0.5000, 0.0000], [0.0000, 0.0000, 0.5000], [0.0000, 0.5000, 0.8588], [0.5000, 0.0000, 0.1412], [0.5000, 0.5000, 0.5000], [0.0000, 0.0000, 0.0000], [0.0000, 0.5000, 0.6374], [0.5000, 0.0000, 0.3626]], "n_ef_per_ev_atom": 0.298, "delta_e_f_ev_per_atom": -0.573, "spacegroup": "P-4m2 (115)", "crystal_system": "tetragonal"}

***

Record 11
{"formula": "Li2GdCu", "functional": "PBE-GGA", "state": "relaxed", "lattice_angstrom": [[1.5359, 0.8868, 10.1076], [-1.5359, 0.8868, 10.1076], [0.0000, -1.7735, 10.1076]], "species": ["Li", "Li", "Gd", "Cu"], "frac_coords": [[0.1018, 0.1018, 0.1018], [0.8982, 0.8982, 0.8982], [0.0000, 0.0000, 0.0000], [0.5000, 0.5000, 0.5000]], "n_ef_per_ev_atom": 0.627, "delta_e_f_ev_per_atom": 0.288, "spacegroup": "R-3m (166)", "crystal_system": "trigonal"}

***

Record 12
{"formula": "BeRe2Sb", "functional": "PBE-GGA", "state": "relaxed", "lattice_angstrom": [[-1.6341, 2.1423, 4.2715], [1.6341, -2.1423, 4.2715], [1.6341, 2.1423, -4.2715]], "species": ["Be", "Re", "Re", "Sb"], "frac_coords": [[0.0000, 0.0000, 0.0000], [0.2126, 0.7126, 0.5000], [0.4788, 0.4788, 0.0000], [0.7414, 0.2414, 0.5000]], "n_ef_per_ev_atom": 0.645, "spacegroup": "Imm2 (44)", "raw_formation_energy_ev_per_atom": 0.53, "crystal_system": "orthorhombic"}

***

Record 13
{"formula": "Ba2Li3AgSb4", "functional": "PBE-GGA", "state": "relaxed", "lattice_angstrom": [[4.7753, 0.0000, 0.0000], [0.0000, 4.7753, 0.0000], [0.0000, 0.0000, 11.7450]], "species": ["Ba", "Ba", "Li", "Li", "Li", "Ag", "Sb", "Sb", "Sb", "Sb"], "frac_coords": [[0.0000, 0.5000, 0.2435], [0.5000, 0.0000, 0.7565], [0.0000, 0.0000, 0.0000], [0.0000, 0.5000, 0.6335], [0.5000, 0.0000, 0.3665], [0.5000, 0.5000, 0.0000], [0.0000, 0.0000, 0.5000], [0.0000, 0.5000, 0.8655], [0.5000, 0.0000, 0.1345], [0.5000, 0.5000, 0.5000]], "n_ef_per_ev_atom": 0.521, "spacegroup": "P-4m2 (115)", "raw_formation_energy_ev_per_atom": -0.72, "crystal_system": "tetragonal"}

***

Record 14
{"formula": "GeBSbTe2", "functional": "PBE-GGA", "state": "relaxed", "lattice_angstrom": [[5.6317, 0.0000, 0.0000], [0.0000, 5.6317, 0.0000], [0.0000, 0.0000, 3.9495]], "species": ["Ge", "B", "Sb", "Te", "Te"], "frac_coords": [[0.0000, 0.0000, 0.0000], [0.0000, 0.0000, 0.5000], [0.5000, 0.5000, 0.5000], [0.0000, 0.5000, 0.0000], [0.5000, 0.0000, 0.0000]], "n_ef_per_ev_atom": 0.801, "spacegroup": "P4/mmm (123)", "raw_formation_energy_ev_per_atom": 0.77, "crystal_system": "tetragonal"}

***

Record 15
{"formula": "KCaBe", "functional": "PBE-GGA", "state": "relaxed", "lattice_angstrom": [[4.1108, 0.0000, 0.0000], [-2.0554, 3.5601, 0.0000], [0.0000, 0.0000, 7.9241]], "species": ["K", "Ca", "Be"], "frac_coords": [[0.0000, 0.0000, 0.0000], [0.3333, 0.6667, 0.5132], [0.6667, 0.3333, 0.2992]], "n_ef_per_ev_atom": 0.856, "delta_e_f_ev_per_atom": 0.687, "spacegroup": "P3m1 (156)", "crystal_system": "trigonal"}

***

Record 16
{"formula": "Cs3HoAs2O8", "functional": "PBE-GGA", "state": "relaxed", "lattice_angstrom": [[6.0316, 0.0000, 0.0000], [-3.0158, 5.2235, 0.0000], [0.0000, 0.0000, 8.7648]], "species": ["Cs", "Cs", "Cs", "Ho", "As", "As", "O", "O", "O", "O", "O", "O", "O", "O"], "frac_coords": [[0.0000, 0.0000, 0.0000], [0.3333, 0.6667, 0.7596], [0.6667, 0.3333, 0.2404], [0.0000, 0.0000, 0.5000], [0.3333, 0.6667, 0.2871], [0.6667, 0.3333, 0.7129], [0.1767, 0.3533, 0.3520], [0.1767, 0.8233, 0.3520], [0.3333, 0.6667, 0.0932], [0.3533, 0.1767, 0.6480], [0.6467, 0.8233, 0.3520], [0.6667, 0.3333, 0.9068], [0.8233, 0.1767, 0.6480], [0.8233, 0.6467, 0.6480]], "n_ef_per_ev_atom": 0.000, "spacegroup": "P-3m1 (164)", "raw_formation_energy_ev_per_atom": -2.00, "crystal_system": "trigonal"}

***

Record 17
{"formula": "CaAc2Sn4Rh3", "functional": "PBE-GGA", "state": "relaxed", "lattice_angstrom": [[4.5950, 0.0000, 0.0000], [0.0000, 4.5950, 0.0000], [0.0000, 0.0000, 11.9118]], "species": ["Ca", "Ac", "Ac", "Sn", "Sn", "Sn", "Sn", "Rh", "Rh", "Rh"], "frac_coords": [[0.0000, 0.0000, 0.0000], [0.0000, 0.5000, 0.7300], [0.5000, 0.0000, 0.2700], [0.0000, 0.0000, 0.5000], [0.0000, 0.5000, 0.1587], [0.5000, 0.0000, 0.8413], [0.5000, 0.5000, 0.5000], [0.0000, 0.5000, 0.3806], [0.5000, 0.0000, 0.6194], [0.5000, 0.5000, 0.0000]], "n_ef_per_ev_atom": 0.656, "delta_e_f_ev_per_atom": -0.643, "spacegroup": "P-4m2 (115)", "crystal_system": "tetragonal"}

***

Record 18
{"formula": "RbLa2GaO5", "functional": "PBE-GGA", "state": "relaxed", "lattice_angstrom": [[-3.5138, 3.5138, 5.7495], [3.5138, -3.5138, 5.7495], [3.5138, 3.5138, -5.7495]], "species": ["Rb", "Rb", "La", "La", "La", "La", "Ga", "Ga", "O", "O", "O", "O", "O", "O", "O", "O", "O", "O"], "frac_coords": [[0.2500, 0.2500, 0.0000], [0.7500, 0.7500, 0.0000], [0.1852, 0.6852, 0.8703], [0.3148, 0.1852, 0.5000], [0.6852, 0.8148, 0.5000], [0.8148, 0.3148, 0.1297], [0.2500, 0.7500, 0.5000], [0.7500, 0.2500, 0.5000], [0.0000, 0.0000, 0.0000], [0.9997, 0.2313, 0.5000], [0.0003, 0.7687, 0.5000], [0.2313, 0.7313, 0.2316], [0.2687, 0.5003, 0.5000], [0.5003, 0.0003, 0.2316], [0.4997, 0.9997, 0.7684], [0.5000, 0.5000, 0.0000], [0.7313, 0.4997, 0.5000], [0.7687, 0.2687, 0.7684]], "n_ef_per_ev_atom": 0.000, "spacegroup": "I4/mcm (140)", "raw_formation_energy_ev_per_atom": -2.65, "crystal_system": "tetragonal"}

***

Record 19
{"formula": "KCaTa", "functional": "PBE-GGA", "state": "relaxed", "lattice_angstrom": [[5.9136, 0.0000, 0.0000], [-2.9568, 5.1213, 0.0000], [0.0000, 0.0000, 6.7033]], "species": ["K", "K", "Ca", "Ca", "Ta", "Ta"], "frac_coords": [[0.0000, 0.0000, 0.0000], [0.0000, 0.0000, 0.5000], [0.3333, 0.6667, 0.2500], [0.6667, 0.3333, 0.7500], [0.3333, 0.6667, 0.7500], [0.6667, 0.3333, 0.2500]], "n_ef_per_ev_atom": 1.521, "delta_e_f_ev_per_atom": 1.530, "spacegroup": "P6_3/mmc (194)", "crystal_system": "hexagonal"}

***

Record 20
{"formula": "Ac3Ag2RhO9", "functional": "PBE-GGA", "state": "relaxed", "lattice_angstrom": [[5.8159, 0.0000, 0.0000], [-2.9080, 5.0367, 0.0000], [0.0000, 0.0000, 7.2774]], "species": ["Ac", "Ac", "Ac", "Ag", "Ag", "Rh", "O", "O", "O", "O", "O", "O", "O", "O", "O"], "frac_coords": [[0.0000, 0.0000, 0.0000], [0.3333, 0.6667, 0.6519], [0.6667, 0.3333, 0.3481], [0.3333, 0.6667, 0.1658], [0.6667, 0.3333, 0.8342], [0.0000, 0.0000, 0.5000], [0.0000, 0.5000, 0.0000], [0.1650, 0.3299, 0.3479], [0.1650, 0.8350, 0.3479], [0.3299, 0.1650, 0.6521], [0.5000, 0.0000, 0.0000], [0.5000, 0.5000, 0.0000], [0.6701, 0.8350, 0.3479], [0.8350, 0.1650, 0.6521], [0.8350, 0.6701, 0.6521]], "n_ef_per_ev_atom": 0.607, "spacegroup": "P-3m1 (164)", "raw_formation_energy_ev_per_atom": -1.70, "crystal_system": "trigonal"}

***

Record 21
{"formula": "ZrHg2Os", "functional": "PBE-GGA", "state": "relaxed", "lattice_angstrom": [[0.0000, 3.3621, 3.3621], [3.3621, 0.0000, 3.3621], [3.3621, 3.3621, 0.0000]], "species": ["Zr", "Hg", "Hg", "Os"], "frac_coords": [[0.0000, 0.0000, 0.0000], [0.2500, 0.2500, 0.2500], [0.7500, 0.7500, 0.7500], [0.5000, 0.5000, 0.5000]], "n_ef_per_ev_atom": 1.077, "delta_e_f_ev_per_atom": 0.370, "spacegroup": "Fm-3m (225)", "crystal_system": "cubic"}

***

Record 22
{"formula": "Tl2SnPb", "functional": "PBE-GGA", "state": "relaxed", "lattice_angstrom": [[2.5254, 1.4581, 6.0660], [-2.5254, 1.4581, 6.0660], [0.0000, -2.9161, 6.0660]], "species": ["Tl", "Tl", "Sn", "Pb"], "frac_coords": [[0.0000, 0.0000, 0.0000], [0.1793, 0.1793, 0.1793], [0.4189, 0.4189, 0.4189], [0.6002, 0.6002, 0.6002]], "n_ef_per_ev_atom": 0.545, "delta_e_f_ev_per_atom": 0.165, "spacegroup": "R3m (160)", "crystal_system": "trigonal"}

***

Record 23
{"formula": "Cs2CdAgBr5", "functional": "PBE-GGA", "state": "relaxed", "lattice_angstrom": [[2.2513, -10.6571, 0.0000], [2.2513, 10.6571, 0.0000], [0.0000, 0.0000, 14.5117]], "species": ["Cs", "Cs", "Cs", "Cs", "Cd", "Cd", "Ag", "Ag", "Br", "Br", "Br", "Br", "Br", "Br", "Br", "Br", "Br", "Br"], "frac_coords": [[0.1197, 0.8803, 0.5000], [0.1296, 0.8704, 0.1108], [0.8704, 0.1296, 0.6108], [0.8803, 0.1197, 0.0000], [0.2112, 0.7888, 0.8215], [0.7888, 0.2112, 0.3215], [0.4349, 0.5651, 0.2371], [0.5651, 0.4349, 0.7371], [0.0815, 0.9185, 0.8398], [0.2867, 0.7133, 0.4491], [0.3019, 0.6981, 0.1872], [0.3371, 0.6629, 0.8069], [0.4991, 0.5009, 0.0840], [0.5009, 0.4991, 0.5840], [0.6629, 0.3371, 0.3069], [0.6981, 0.3019, 0.6872], [0.7133, 0.2867, 0.9491], [0.9185, 0.0815, 0.3398]], "n_ef_per_ev_atom": 0.000, "spacegroup": "Cmc2_1 (36)", "raw_formation_energy_ev_per_atom": -1.17, "crystal_system": "orthorhombic"}

***

Record 24
{"formula": "CrBIr2", "functional": "PBE-GGA", "state": "relaxed", "lattice_angstrom": [[-2.5239, 2.5239, 4.9695], [2.5239, -2.5239, 4.9695], [2.5239, 2.5239, -4.9695]], "species": ["Cr", "Cr", "B", "B", "Ir", "Ir", "Ir", "Ir"], "frac_coords": [[0.0000, 0.0000, 0.0000], [0.7500, 0.2500, 0.5000], [0.2500, 0.7500, 0.5000], [0.5000, 0.5000, 0.0000], [0.1706, 0.6250, 0.0456], [0.3750, 0.4206, 0.5456], [0.5794, 0.1250, 0.9544], [0.8750, 0.8294, 0.4544]], "n_ef_per_ev_atom": 1.071, "delta_e_f_ev_per_atom": 0.422, "spacegroup": "I-42d (122)", "crystal_system": "tetragonal"}